Nb3Tc4W after structural relaxation. Source: the Alexandria database, functional PBE-GGA.

It has space group P4/mmm (No. 123), with a = 3.1747 Å, b = 3.1747 Å, c = 12.7388 Å, α = 90.00°, β = 90.00° and γ = 90.00°. The asymmetric unit holds Nb at (0.0000, 0.0000, 0.0000), Nb at (0.0000, 0.0000, 0.2501), Tc at (0.5000, 0.5000, 0.1264), Tc at (0.5000, 0.5000, 0.3789) and W at (0.0000, 0.0000, 0.5000).

The total magnetic moment is 0.0000 μB per atom. The volume comes out at 128 Å³ per cell. The calculation puts the formation energy at -0.25 eV per atom.